1.
A plane-wave DFT calculation with GGA-PBE was carried out for Tl2CdRh after structural relaxation.

a b c (Å): 4.9599 4.9599 4.9599
angles (deg): 60.00 60.00 60.00
With the nearest neighbours (Å) after each atom.
Sites, in units of the cell vectors:
Tl: 0.2500 0.2500 0.2500  4 Cd 3.04, 4 Rh 3.04
Tl: 0.7500 0.7500 0.7500  4 Cd 3.04, 4 Rh 3.04
Cd: 0.0000 0.0000 0.0000  8 Tl 3.04
Rh: 0.5000 0.5000 0.5000  8 Tl 3.04

- Calculated volume: 86.3 Å³/cell
- E: -2.98 eV/atom
- Distance to the lowest polymorph of the same formula: 251 meV/atom

***

2.
A plane-wave DFT calculation with GGA-PBE was carried out for Tl2CdRh after structural relaxation.

a b c (Å): 5.0787 5.0787 3.3990
angles (deg): 90.00 90.00 98.78
With the nearest neighbours (Å) after each atom.
Sites, in units of the cell vectors:
Tl: 0.0000 0.5000 0.0000  4 Rh 3.06, 4 Cd 3.06, 4 Tl 3.31-3.40
Tl: 0.5000 0.0000 0.0000  4 Rh 3.06, 4 Cd 3.06, 4 Tl 3.31-3.40
Cd: 0.0000 0.0000 0.5000  8 Tl 3.06, 2 Rh 3.31, 2 Cd 3.40
Rh: 0.5000 0.5000 0.5000  8 Tl 3.06, 2 Cd 3.31, 2 Rh 3.40

- Calculated volume: 86.6 Å³/cell
- E: -3.00 eV/atom
- Distance to the lowest polymorph of the same formula: 236 meV/atom

***

Table of E_form (meV/atom), in record order: 266; 251
Table of magnetic moment (μB per formula unit), in record order: 0.0; 0.0